A relaxed AcPu2Sb crystal. Source: Alexandria, functional GGA-PBE.

Geometry as CIF:
```
data_AcPu2Sb
_chemical_formula_sum 'Ac1 Pu2 Sb1'
_space_group_name_H-M_alt 'P 1'
_space_group_IT_number 1
_space_group_name_Hall 'P 1'
_cell_length_a 4.154
_cell_length_b 4.154
_cell_length_c 7.039
_cell_angle_alpha 90.00
_cell_angle_beta 90.00
_cell_angle_gamma 90.00
loop_
_atom_site_label
_atom_site_type_symbol
_atom_site_fract_x
_atom_site_fract_y
_atom_site_fract_z
_atom_site_occupancy
Sb1 Sb 0.500 0.500 0.500 1
Ac1 Ac 0.500 0.500 0.000 1
Pu1 Pu 0.000 0.000 0.707 1
Pu2 Pu 0.000 0.000 0.293 1
```

As for the space group: P4/mmm (123). The density of states at the Fermi level is 14.79 states/eV per cell. Its uncorrected formation energy is -262.9 meV per atom. The magnetic moment comes out at 12.36 μB/cell.